# AgMoP2O | the Alexandria database | PBE+U | relaxed
data_AgMoP2O
_space_group_name_H-M_alt 'P 4/m m m'
_space_group_IT_number 123
_space_group_name_Hall '-P 4 2'
_cell_length_a 4.839
_cell_length_b 4.839
_cell_length_c 3.954
_cell_angle_alpha 90.00
_cell_angle_beta 90.00
_cell_angle_gamma 90.00
loop_
_atom_site_label
_atom_site_type_symbol
_atom_site_fract_x
_atom_site_fract_y
_atom_site_fract_z
_atom_site_occupancy
Ag1 Ag 0.000 0.000 0.000 1
Mo1 Mo 0.500 0.500 0.500 1
P1 P 0.000 0.500 0.000 1
O1 O 0.000 0.000 0.500 1
# **V**: 92.57 Å³ per cell
# **Electronic total energy**: -20.81 eV per formula unit